Compound: CdNi2B2
Source: Alexandria via LeMat-Bulk
Functional: PBE-GGA
Structure: optimized geometry

a b c (Å): 4.0073 3.9873 7.1948
angles (deg): 90.00 106.04 90.00
Last column: nearest neighbours and their distance in Å.
Space group C2/m (No. 12)
Asymmetric unit:
Cd 0.0000 0.0000 0.0000 [2 per cell]  4 Cd 2.83, 8 Ni 2.84-2.85
Ni 0.1471 0.5000 0.2916 [4 per cell]  4 B 2.02
B 0.0000 0.2506 0.5000 [4 per cell]  4 B 1.99-2.00, 4 Ni 2.02

Results
The total magnetic moment comes out at 0.000 μB per atom. The density of states at the Fermi level comes out at 2.95 states/eV per cell. As for the volume: 11.0 Å³/atom. The theoretical density is 7.558 g cm⁻³. The formation energy comes out at 5.2 kJ/mol of formula units.